Material: ZnSb2Se
Method: DFT, PBE
State: optimized geometry

a b c (Å): 3.6225 5.6635 4.6510
angles (deg): 90.00 90.00 90.00
Atoms (fractional coordinates):
Se1 0.5000 0.0000 0.5000
Sb1 0.5000 0.5000 0.0000
Sb2 0.0000 0.0000 0.0000
Zn1 0.0000 0.5000 0.5000

## Properties
formation energy without anion corrections	0.16	eV per atom
volume	95.4	Å³ per cell
E above lowest polymorph	359	meV/atom
magnetic moment	0.0	Bohr magnetons per cell